(1)
A plane-wave DFT calculation with PBE-GGA was carried out for AcEr2Br after structural relaxation.

abc: 3.578 3.578 11.856
angles: 81.32 81.32 60.00
Fractional positions:
Er 0.100 0.100 0.699
Er 0.900 0.900 0.301
Ac 0.000 0.000 0.000
Br 0.500 0.500 0.500

- spin magnetization (μB/atom) = 0.00
- DOS at the Fermi energy (states/eV per cell) = 5.84
- uncorrected energy (eV/atom) = -3.9287



(2)
A plane-wave DFT calculation with PBE-GGA was carried out for MgAg3Sn3S8 after structural relaxation.

abc: 7.530 7.530 7.734
angles: 119.15 90.00 120.00
Fractional positions:
S 0.758 0.010 0.269
S 0.252 0.504 0.256
S 0.758 0.517 0.269
S 0.242 0.990 0.731
S 0.748 0.496 0.744
S 0.242 0.483 0.731
S 0.748 0.990 0.731
S 0.252 0.010 0.269
Ag 0.500 0.500 0.000
Ag 0.000 0.500 0.000
Ag 0.000 0.000 0.000
Sn 0.500 0.000 0.500
Sn 0.000 0.500 0.500
Sn 0.500 0.500 0.500
Mg 0.000 0.000 0.500

- spin magnetization (μB/atom) = 0.00
- DOS at the Fermi energy (states/eV per cell) = 1.25
- uncorrected energy (eV/atom) = -4.0750